No. 1
Density functional theory data (GGA-PBE) for an optimized crystal structure of CsCrAsSe2.

a b c (Å): 6.0315 6.0315 5.9203
angles (deg): 90.00 90.00 90.00
Fractional coordinates of all 5 atoms:
Cs1 0.0000 0.0000 0.0000
Cr1 0.5000 0.5000 0.5000
As1 0.0000 0.0000 0.5000
Se1 0.0000 0.5000 0.0000
Se2 0.5000 0.0000 0.0000

energy relative to the elements, uncorrected = 1.5314 eV/atom
V = 215 Å³ per cell
final energy = -2.888 eV per atom
crystal system = tetragonal

***

No. 2
Density functional theory data (GGA-PBE) for an optimized crystal structure of CsZnCrAs2.

a b c (Å): 5.1008 5.1008 5.2433
angles (deg): 90.00 90.00 90.00
Fractional coordinates of all 5 atoms:
Cs1 0.0000 0.0000 0.0000
Zn1 0.5000 0.5000 0.5000
Cr1 0.5000 0.5000 0.0000
As1 0.0000 0.5000 0.5000
As2 0.5000 0.0000 0.5000

energy of formation = 529 meV/atom
V = 136 Å³ per cell
final energy = -3.681 eV per atom
crystal system = tetragonal

***

No. 3
Density functional theory data (GGA-PBE) for an optimized crystal structure of CrCu4As.

a b c (Å): 4.8981 4.8981 4.8981
angles (deg): 60.00 60.00 60.00
Fractional coordinates of all 6 atoms:
Cr1 0.0000 0.0000 0.0000
Cu1 0.3745 0.3745 0.3745
Cu2 0.3745 0.3745 0.8765
Cu3 0.3745 0.8765 0.3745
Cu4 0.8765 0.3745 0.3745
As1 0.7500 0.7500 0.7500

energy of formation = 191 meV/atom
V = 83 Å³ per cell
final energy = -4.918 eV per atom
crystal system = cubic

***

No. 4
Density functional theory data (GGA-PBE) for an optimized crystal structure of CrCu2As2.

a b c (Å): 6.5535 6.5535 3.6043
angles (deg): 90.00 90.00 90.00
Fractional coordinates of all 10 atoms:
Cr1 0.0000 0.0000 0.0000
Cr2 0.5000 0.5000 0.0000
Cu1 0.1393 0.3607 0.5000
Cu2 0.3607 0.8607 0.5000
Cu3 0.6393 0.1393 0.5000
Cu4 0.8607 0.6393 0.5000
As1 0.1573 0.6573 0.0000
As2 0.3427 0.1573 0.0000
As3 0.6573 0.8427 0.0000
As4 0.8427 0.3427 0.0000

energy of formation = 193 meV/atom
V = 155 Å³ per cell
final energy = -5.230 eV per atom
crystal system = tetragonal

***

No. 5
Density functional theory data (GGA-PBE) for an optimized crystal structure of CrFeCuAs2.

a b c (Å): 4.5228 4.5228 4.5775
angles (deg): 90.00 90.00 90.00
Fractional coordinates of all 5 atoms:
Cr1 0.0000 0.0000 0.0000
Fe1 0.0000 0.0000 0.5000
Cu1 0.5000 0.5000 0.5000
As1 0.0000 0.5000 0.0000
As2 0.5000 0.0000 0.0000

energy of formation = 818 meV/atom
V = 94 Å³ per cell
final energy = -5.478 eV per atom
crystal system = tetragonal

***

No. 6
Density functional theory data (GGA-PBE) for an optimized crystal structure of Cr2GaCuAs.

a b c (Å): 4.8355 4.8355 4.6966
angles (deg): 90.00 90.00 90.00
Fractional coordinates of all 5 atoms:
Cr1 0.0000 0.5000 0.0000
Cr2 0.5000 0.0000 0.0000
Ga1 0.0000 0.0000 0.0000
Cu1 0.5000 0.5000 0.5000
As1 0.0000 0.0000 0.5000

energy of formation = 1165 meV/atom
V = 110 Å³ per cell
final energy = -5.039 eV per atom
crystal system = tetragonal

***

> Among the records above, which one has the lowest final energy?

CrFeCuAs2

***

> Which value of final energy does entry 6 give?

-5.039 eV per atom

***

> Which of these has the highest V?

CsCrAsSe2